{
  "formula": "CaMoPS2",
  "functional": "PBE",
  "state": "optimized geometry",
  "lattice": [[5.0808, 0.0000, 0.0000], [0.0000, 5.0808, 0.0000], [0.0000, 0.0000, 5.1372]],
  "species": ["Ca", "Mo", "P", "S", "S"],
  "frac_coords": [[0.0000, 0.0000, 0.0000], [0.5000, 0.5000, 0.5000], [0.0000, 0.0000, 0.5000], [0.0000, 0.5000, 0.0000], [0.5000, 0.0000, 0.0000]],
  "spacegroup": "P4/mmm (123)",
  "polymorph_energy_ev_per_atom": 1.5486,
  "raw_formation_energy_kj_per_mol_fu": 491
}

***

{
  "formula": "CaScMoP2",
  "functional": "PBE",
  "state": "optimized geometry",
  "lattice": [[4.9123, 0.0000, 0.0000], [0.0000, 4.9123, 0.0000], [0.0000, 0.0000, 4.5330]],
  "species": ["Ca", "Sc", "Mo", "P", "P"],
  "frac_coords": [[0.0000, 0.0000, 0.0000], [0.0000, 0.0000, 0.5000], [0.5000, 0.5000, 0.5000], [0.0000, 0.5000, 0.0000], [0.5000, 0.0000, 0.0000]],
  "spacegroup": "P4/mmm (123)",
  "formation_enthalpy_0k_mev_per_atom": 1674
}

***

Number 1: electronic total energy -0.3147 Ry/atom, calculated density 2.89 Mg/m³. Number 2: electronic total energy -0.3177 Ry/atom, calculated density 3.69 Mg/m³.